Pm4TmIn2: optimized geometry, PBE.

Calculated values
The total energy is -4.13 eV per atom. Its formation energy is 0.004 eV per atom. The value obtained for the density of states at the Fermi level is 12.0 states/eV per cell. As for the space group: R-3m (166). The calculation puts the energy above the most stable polymorph in this dataset at 0.000 eV/atom.

Lattice parameters (Å, degrees): 9.456 9.456 9.456 34.25 34.25 34.25
Fractional positions:
Pm  0.129  0.129  0.129
Pm  0.267  0.267  0.267
Pm  0.733  0.733  0.733
Pm  0.871  0.871  0.871
Tm  0.500  0.500  0.500
In  0.386  0.386  0.386
In  0.614  0.614  0.614


PmTm2In9: optimized geometry, PBE.

Calculated values
The total energy is -3.59 eV per atom. Its formation energy is -0.399 eV per atom. The value obtained for the density of states at the Fermi level is 4.8 states/eV per cell. As for the space group: P4/mmm (123).

Lattice parameters (Å, degrees): 4.647 4.647 13.903 90.00 90.00 90.00
Fractional positions:
Pm  0.000  0.000  0.000
Tm  0.000  0.000  0.335
Tm  0.000  0.000  0.665
In  0.000  0.500  0.171
In  0.000  0.500  0.500
In  0.000  0.500  0.829
In  0.500  0.000  0.171
In  0.500  0.000  0.500
In  0.500  0.000  0.829
In  0.500  0.500  0.000
In  0.500  0.500  0.334
In  0.500  0.500  0.666


PmTm12In6: optimized geometry, PBE.

Calculated values
The total energy is -3.97 eV per atom. Its formation energy is -0.034 eV per atom. The value obtained for the density of states at the Fermi level is 24.6 states/eV per cell. As for the space group: R-3m (166).

Lattice parameters (Å, degrees): 8.747 8.747 8.747 103.59 103.59 103.59
Fractional positions:
Pm  0.000  0.000  0.000
Tm  0.124  0.500  0.876
Tm  0.124  0.876  0.500
Tm  0.179  0.445  0.445
Tm  0.445  0.179  0.445
Tm  0.445  0.445  0.179
Tm  0.500  0.124  0.876
Tm  0.500  0.876  0.124
Tm  0.555  0.555  0.821
Tm  0.555  0.821  0.555
Tm  0.821  0.555  0.555
Tm  0.876  0.124  0.500
Tm  0.876  0.500  0.124
In  0.242  0.242  0.700
In  0.242  0.700  0.242
In  0.300  0.758  0.758
In  0.700  0.242  0.242
In  0.758  0.300  0.758
In  0.758  0.758  0.300


PmTm6In5: optimized geometry, PBE.

Calculated values
The total energy is -4.13 eV per atom. Its formation energy is -0.358 eV per atom. The value obtained for the density of states at the Fermi level is 11.3 states/eV per cell. As for the space group: Immm (71).

Lattice parameters (Å, degrees): 8.997 8.997 8.997 148.09 122.16 67.59
Fractional positions:
Pm  0.000  0.000  0.000
Tm  0.095  0.830  0.264
Tm  0.275  0.500  0.775
Tm  0.434  0.170  0.264
Tm  0.566  0.830  0.736
Tm  0.725  0.500  0.225
Tm  0.905  0.170  0.736
In  0.153  0.653  0.500
In  0.321  0.321  0.000
In  0.500  0.000  0.500
In  0.679  0.679  0.000
In  0.847  0.347  0.500


Pm3Tm3In: optimized geometry, PBE.

Calculated values
The total energy is -4.40 eV per atom. Its formation energy is -0.061 eV per atom. The value obtained for the density of states at the Fermi level is 36.6 states/eV per cell. As for the space group: Pnma (62). The calculation puts the energy above the most stable polymorph in this dataset at 0.054 eV/atom.

Lattice parameters (Å, degrees): 12.690 5.448 12.726 90.00 90.00 90.00
Fractional positions:
Pm  0.133  0.250  0.179
Pm  0.133  0.750  0.818
Pm  0.217  0.750  0.405
Pm  0.283  0.250  0.905
Pm  0.367  0.250  0.318
Pm  0.367  0.750  0.679
Pm  0.633  0.250  0.321
Pm  0.633  0.750  0.682
Pm  0.717  0.750  0.095
Pm  0.783  0.250  0.595
Pm  0.867  0.250  0.182
Pm  0.867  0.750  0.821
Tm  0.002  0.750  0.574
Tm  0.004  0.750  0.059
Tm  0.216  0.250  0.585
Tm  0.284  0.750  0.085
Tm  0.496  0.250  0.559
Tm  0.498  0.250  0.074
Tm  0.502  0.750  0.926
Tm  0.504  0.750  0.441
Tm  0.716  0.250  0.915
Tm  0.784  0.750  0.415
Tm  0.996  0.250  0.941
Tm  0.998  0.250  0.426
In  0.006  0.250  0.708
In  0.494  0.750  0.208
In  0.506  0.250  0.792
In  0.994  0.750  0.292


Pm4TmIn4: optimized geometry, PBE.

Calculated values
The total energy is -4.11 eV per atom. Its formation energy is -0.289 eV per atom. The value obtained for the density of states at the Fermi level is 14.0 states/eV per cell. As for the space group: P4_2/n (86).

Lattice parameters (Å, degrees): 9.190 9.190 6.228 90.00 90.00 90.00
Fractional positions:
Pm  0.079  0.822  0.120
Pm  0.178  0.579  0.620
Pm  0.322  0.921  0.620
Pm  0.421  0.678  0.120
Pm  0.579  0.322  0.880
Pm  0.678  0.079  0.380
Pm  0.822  0.421  0.380
Pm  0.921  0.178  0.880
Tm  0.250  0.250  0.750
Tm  0.750  0.750  0.250
In  0.050  0.152  0.369
In  0.152  0.450  0.131
In  0.348  0.050  0.131
In  0.450  0.348  0.369
In  0.550  0.652  0.631
In  0.652  0.950  0.869
In  0.848  0.550  0.869
In  0.950  0.848  0.631


Pm2Tm5In5: optimized geometry, PBE.

Calculated values
The total energy is -4.09 eV per atom. Its formation energy is -0.296 eV per atom. The value obtained for the density of states at the Fermi level is 12.3 states/eV per cell. As for the space group: C2/m (12).

Lattice parameters (Å, degrees): 6.570 6.570 11.753 107.66 107.66 45.03
Fractional positions:
Pm  0.076  0.076  0.256
Pm  0.924  0.924  0.744
Tm  0.349  0.349  0.497
Tm  0.372  0.372  0.222
Tm  0.500  0.500  0.000
Tm  0.628  0.628  0.778
Tm  0.651  0.651  0.503
In  0.000  0.000  0.500
In  0.168  0.168  0.969
In  0.249  0.249  0.715
In  0.751  0.751  0.285
In  0.832  0.832  0.031


PmTmIn: optimized geometry, PBE.

Calculated values
The total energy is -4.22 eV per atom. Its formation energy is -0.234 eV per atom. The value obtained for the density of states at the Fermi level is 2.2 states/eV per cell. As for the space group: P3m1 (156). The calculation puts the energy above the most stable polymorph in this dataset at 0.107 eV/atom.

Lattice parameters (Å, degrees): 5.247 5.247 3.697 90.00 90.00 120.00
Fractional positions:
Pm  0.000  0.000  0.000
Tm  0.667  0.333  0.453
In  0.333  0.667  0.618


Pm2Tm7In2: optimized geometry, PBE.

Calculated values
The total energy is -4.08 eV per atom. Its formation energy is 0.129 eV per atom. The value obtained for the density of states at the Fermi level is 14.0 states/eV per cell. As for the space group: C2/m (12).

Lattice parameters (Å, degrees): 7.530 7.530 6.678 97.00 97.00 114.20
Fractional positions:
Pm  0.182  0.182  0.149
Pm  0.818  0.818  0.851
Tm  0.080  0.574  0.777
Tm  0.178  0.178  0.640
Tm  0.426  0.920  0.223
Tm  0.500  0.500  0.000
Tm  0.574  0.080  0.777
Tm  0.822  0.822  0.360
Tm  0.920  0.426  0.223
In  0.383  0.617  0.500
In  0.617  0.383  0.500


Pm5Tm2In5: optimized geometry, PBE.

Calculated values
The total energy is -4.18 eV per atom. Its formation energy is -0.310 eV per atom. The value obtained for the density of states at the Fermi level is 12.4 states/eV per cell. As for the space group: C2/m (12).

Lattice parameters (Å, degrees): 6.436 6.436 12.108 108.23 108.23 47.92
Fractional positions:
Pm  0.000  0.000  0.000
Pm  0.136  0.136  0.773
Pm  0.155  0.155  0.499
Pm  0.845  0.845  0.501
Pm  0.864  0.864  0.227
Tm  0.428  0.428  0.743
Tm  0.572  0.572  0.257
In  0.226  0.226  0.268
In  0.329  0.329  0.039
In  0.500  0.500  0.500
In  0.671  0.671  0.961
In  0.774  0.774  0.732


Pm5TmIn2: optimized geometry, PBE.

Calculated values
The total energy is -4.36 eV per atom. Its formation energy is -0.149 eV per atom. The value obtained for the density of states at the Fermi level is 11.3 states/eV per cell. As for the space group: Immm (71). The calculation puts the energy above the most stable polymorph in this dataset at 0.123 eV/atom.

Lattice parameters (Å, degrees): 8.514 8.514 8.514 155.43 99.52 85.71
Fractional positions:
Pm  0.000  0.000  0.000
Pm  0.083  0.362  0.721
Pm  0.359  0.638  0.721
Pm  0.641  0.362  0.279
Pm  0.917  0.638  0.279
Tm  0.500  0.000  0.500
In  0.275  0.275  0.000
In  0.725  0.725  0.000


PmTm3In3: optimized geometry, PBE.

Calculated values
The total energy is -4.12 eV per atom. Its formation energy is -0.351 eV per atom. The value obtained for the density of states at the Fermi level is 11.8 states/eV per cell. As for the space group: P6_3/m (176). The calculation puts the energy above the most stable polymorph in this dataset at 0.000 eV/atom.

Lattice parameters (Å, degrees): 9.312 9.312 5.151 90.00 90.00 120.00
Fractional positions:
Pm  0.333  0.667  0.250
Pm  0.667  0.333  0.750
Tm  0.002  0.772  0.250
Tm  0.228  0.230  0.250
Tm  0.230  0.002  0.750
Tm  0.770  0.998  0.250
Tm  0.772  0.770  0.750
Tm  0.998  0.228  0.750
In  0.071  0.619  0.750
In  0.381  0.452  0.750
In  0.452  0.071  0.250
In  0.548  0.929  0.750
In  0.619  0.548  0.250
In  0.929  0.381  0.250